[1]
DFT (PBE) results for an optimized crystal structure of Tb4Sb6O19.

Summary:
- space-group type = P1, No. 1
- E_tot (eV per cell) = -196.30

```
Tb4Sb6O19
1.0
8.113 0.000 0.000
-2.545 7.713 0.000
-2.950 -3.709 6.700
Tb Sb O
4 6 19
Cartesian
0.000 0.000 0.000
-2.764 -0.622 4.793
-2.294 4.889 4.641
2.940 3.750 2.738
-1.231 2.402 2.602
-0.008 5.457 1.362
1.581 0.382 3.534
-0.153 1.645 5.894
4.368 0.265 1.361
5.598 3.318 0.119
-4.562 4.946 4.718
-2.989 3.661 2.970
-1.696 5.437 0.377
0.353 0.791 2.069
-1.993 0.947 6.398
-1.162 2.811 4.621
-0.084 -0.086 4.717
0.166 7.279 0.426
1.486 -1.583 3.032
0.493 3.847 2.355
1.376 -2.139 6.585
3.025 1.387 2.496
1.472 2.061 4.709
1.670 6.183 2.287
3.563 4.318 0.664
3.303 7.046 0.220
3.016 -0.203 4.800
5.625 0.625 2.834
4.391 -1.660 6.464
```

***

[2]
DFT (PBE) results for an optimized crystal structure of Lu2CdSn.

Summary:
- space-group type = R-3m, No. 166
- calculated formation energy (eV per atom) = -0.2842
- D(E_F) (states/eV/f.u.) = 3.54

```
Lu2CdSn
1.0
1.799 1.039 9.540
-1.799 1.039 9.540
0.000 -2.078 9.540
Lu Cd Sn
2 1 1
Cartesian
0.000 0.000 7.164
0.000 0.000 21.456
0.000 0.000 14.310
0.000 0.000 0.000
```

***

| no. | magnetization (μB per atom) | density (g cm⁻³) |
| --- | --- | --- |
| 1 | 0.000 | 6.62 |
| 2 | 0.000 | 9.02 |